[1]
VASP calculation (GGA-PBE) on a relaxed DyY2Mg3Hg2Au crystal.

Lattice parameters (Å, degrees): 4.1854 7.7087 7.7087 119.98 90.00 90.00
Sites, in units of the cell vectors:
Au: 0.0000 0.9989 0.9989
Dy: 0.0000 0.5958 0.5958
Hg: 0.5000 0.6664 0.3342
Hg: 0.5000 0.3342 0.6664
Mg: 0.5000 0.7574 0.0002
Mg: 0.5000 0.2425 0.2425
Mg: 0.5000 0.0002 0.7574
Y: 0.0000 0.4046 0.0000
Y: 0.0000 0.0000 0.4046

Output
Crystal system: orthorhombic
Magnetization: 0.0 Bohr magnetons per cell
Calculated total energy: -3.41 eV/atom

***

[2]
VASP calculation (GGA-PBE) on a relaxed TbDy2NiHg3Au2 crystal.

Lattice parameters (Å, degrees): 3.8030 7.7677 7.7677 120.08 90.00 90.00
Sites, in units of the cell vectors:
Au: 0.5000 0.6671 0.3326
Au: 0.5000 0.3326 0.6671
Dy: 0.0000 0.3925 0.0002
Dy: 0.0000 0.0002 0.3925
Hg: 0.5000 0.7495 0.0002
Hg: 0.5000 0.2508 0.2508
Hg: 0.5000 0.0002 0.7495
Ni: 0.0000 0.0004 0.0004
Tb: 0.0000 0.6068 0.6068

Output
Crystal system: orthorhombic
Magnetization: 0.0 Bohr magnetons per cell
Calculated formation energy: -0.587 eV per atom
Calculated total energy: -3.57 eV/atom

***

[3]
VASP calculation (GGA-PBE) on a relaxed Dy3Hg3Pd2Au crystal.

Lattice parameters (Å, degrees): 7.8637 7.8637 3.7456 90.00 90.00 120.00
Sites, in units of the cell vectors:
Au: 0.0000 0.0000 0.0000
Dy: 0.3982 0.0000 0.0000
Dy: 0.0000 0.3982 0.0000
Dy: 0.6018 0.6018 0.0000
Hg: 0.7212 0.0000 0.5000
Hg: 0.2788 0.2788 0.5000
Hg: 0.0000 0.7212 0.5000
Pd: 0.6667 0.3333 0.5000
Pd: 0.3333 0.6667 0.5000

Output
Crystal system: hexagonal
Magnetization: 0.0 Bohr magnetons per cell
Calculated formation energy: -0.688 eV per atom
Calculated total energy: -3.83 eV/atom

***

[4]
VASP calculation (GGA-PBE) on a relaxed Dy3Hg3PdAu2 crystal.

Lattice parameters (Å, degrees): 7.9027 7.9027 3.7453 90.00 90.00 120.00
Sites, in units of the cell vectors:
Au: 0.6667 0.3333 0.5000
Au: 0.3333 0.6667 0.5000
Dy: 0.3928 0.0000 0.0000
Dy: 0.0000 0.3928 0.0000
Dy: 0.6072 0.6072 0.0000
Hg: 0.7323 0.0000 0.5000
Hg: 0.2677 0.2677 0.5000
Hg: 0.0000 0.7323 0.5000
Pd: 0.0000 0.0000 0.0000

Output
Crystal system: hexagonal
Magnetization: 0.0 Bohr magnetons per cell
Calculated formation energy: -0.673 eV per atom
Calculated total energy: -3.61 eV/atom

***

[5]
VASP calculation (GGA-PBE) on a relaxed Pr2DyHg3PdAu2 crystal.

Lattice parameters (Å, degrees): 3.9082 7.9480 7.9480 119.63 90.00 90.00
Sites, in units of the cell vectors:
Au: 0.5000 0.6646 0.3405
Au: 0.5000 0.3405 0.6646
Dy: 0.0000 0.6052 0.6052
Hg: 0.5000 0.2615 0.2615
Hg: 0.5000 0.9978 0.7388
Hg: 0.5000 0.7388 0.9978
Pd: 0.0000 0.9964 0.9964
Pr: 0.0000 0.9994 0.3958
Pr: 0.0000 0.3958 0.9994

Output
Crystal system: orthorhombic
Magnetization: 0.0 Bohr magnetons per cell
Calculated formation energy: -0.661 eV per atom
Calculated total energy: -3.63 eV/atom

***

[6]
VASP calculation (GGA-PBE) on a relaxed Tb2DyHg3PtAu2 crystal.

Lattice parameters (Å, degrees): 3.8039 7.8348 7.8348 119.95 90.00 90.00
Sites, in units of the cell vectors:
Au: 0.5000 0.6664 0.3341
Au: 0.5000 0.3341 0.6664
Dy: 0.0000 0.6134 0.6134
Hg: 0.5000 0.7316 0.0001
Hg: 0.5000 0.2682 0.2682
Hg: 0.5000 0.0001 0.7316
Pt: 0.0000 0.9993 0.9993
Tb: 0.0000 0.9998 0.3871
Tb: 0.0000 0.3871 0.9998

Output
Crystal system: orthorhombic
Magnetization: 0.0 Bohr magnetons per cell
Calculated formation energy: -0.692 eV per atom
Calculated total energy: -3.73 eV/atom